The following is a DFT calculation (PBE-GGA) of a relaxed structure of Pr2SnO2.

Calculated values
Total DFT energy (no corrections), eV/cell: -35.53
Spin magnetization, μB per atom: 0.000
Formation energy (no corrections), eV per formula unit: -12.053

a b c (Å): 4.0055 4.0055 7.8261
angles (deg): 104.83 104.83 90.00
Element x y z (fractional)
O1 0.7500 0.2500 0.5000
O2 0.2500 0.7500 0.5000
Pr1 0.3337 0.3337 0.6674
Pr2 0.6663 0.6663 0.3326
Sn1 0.0000 0.0000 0.0000